DyAlZn2 PBE optimized geometry; SG = No. 166; formation enthalpy at 0 K = -112 kJ/mol of formula units; calculated total energy = -12.05 eV/f.u.; energy relative to the lowest polymorph listed for this composition = 0.46 eV/f.u.
1.0
-3.2478 -0.5797 2.7656
-0.0880 -3.4926 2.5152
1.3793 1.0501 5.1905
Zn Dy Al
2 1 1
Direct
0.2823 0.2823 0.1530
0.7177 0.7177 0.8470
0.5000 0.5000 0.5000
0.0000 0.0000 0.0000